The following is a GGA-PBE calculation of a relaxed structure of BaSnSb4, from Alexandria.

abc: 7.0158 7.0186 8.4887
angles: 81.21 81.16 89.47
Atoms (fractional coordinates):
Ba1 0.2371 0.2375 0.3803
Ba2 0.7629 0.7625 0.6197
Sn1 0.0000 0.5000 0.0000
Sn2 0.5000 0.0000 0.0000
Sb1 0.1164 0.8097 0.2141
Sb2 0.1913 0.8820 0.7853
Sb3 0.3024 0.6986 0.4988
Sb4 0.4198 0.4196 0.8781
Sb5 0.5802 0.5804 0.1219
Sb6 0.6976 0.3014 0.5012
Sb7 0.8087 0.1180 0.2147
Sb8 0.8836 0.1903 0.7859

Values from the calculation:
**Fermi-level density of states**: 2.889 states/eV/f.u.
**Energy above the lowest structure with this stoichiometry**: 0 meV/atom
**Crystal system**: triclinic
**Space-group type**: P-1

***

The following is a GGA-PBE calculation of a relaxed structure of TbSm6, from Alexandria.

abc: 7.0044 7.0044 7.0044
angles: 109.47 109.47 109.47
Atoms (fractional coordinates):
Tb1 0.0000 0.0000 0.0000
Sm1 0.2500 0.5000 0.7500
Sm2 0.2500 0.7500 0.5000
Sm3 0.5000 0.2500 0.7500
Sm4 0.5000 0.7500 0.2500
Sm5 0.7500 0.2500 0.5000
Sm6 0.7500 0.5000 0.2500

Values from the calculation:
**DFT formation energy**: 1.31 eV/atom
**Fermi-level density of states**: 5.635 states/eV/f.u.
**Energy above the lowest structure with this stoichiometry**: 1059 meV/atom
**Crystal system**: cubic
**Space-group type**: Im-3m